1.
Ac3Zn2In | GGA-PBE | optimized geometry

Cell: 5.6178 5.6178 13.8696 Å, 90.00 90.00 120.00°
Space group P-3m1 (No. 164)
Symmetry-distinct sites (fractional):
Ac: 0.0000 0.0000 0.2411 (multiplicity 2)
Ac: 0.3333 0.6667 0.4164 (multiplicity 2)
Ac: 0.3333 0.6667 0.9243 (multiplicity 2)
Zn: 0.0000 0.0000 0.0000 (multiplicity 1)
Zn: 0.0000 0.0000 0.5000 (multiplicity 1)
Zn: 0.3333 0.6667 0.1660 (multiplicity 2)
In: 0.3333 0.6667 0.6701 (multiplicity 2)

Calculated values
Relative energy among the computed polymorphs: 0.040 eV/f.u.
Calculated density: 8.1 g/cm3
Energy: -3.2261 eV per atom
Energy relative to the elements: -0.291 eV per atom

---

2.
PmGa2RuO8 | GGA-PBE | optimized geometry

Cell: 4.7074 6.4759 4.7307 Å, 90.00 90.57 90.00°
Space group P2/m (No. 10)
Symmetry-distinct sites (fractional):
Pm: 0.0000 0.0000 0.0000 (multiplicity 1)
Ga: 0.5000 0.2597 0.5000 (multiplicity 2)
Ru: 0.0000 0.5000 0.0000 (multiplicity 1)
O: 0.2069 0.2911 0.2005 (multiplicity 4)
O: 0.2925 0.5000 0.7021 (multiplicity 2)
O: 0.3287 0.0000 0.6646 (multiplicity 2)

Calculated values
ΔE_f (raw): -150.58 kJ/mol of atoms
Calculated density: 5.9 g/cm3
Energy: -6.5394 eV per atom

---

3.
BeCrRu3 | GGA-PBE | optimized geometry

Cell: 4.3755 4.3755 4.3755 Å, 90.00 90.00 90.00°
Space group Pm-3m (No. 221)
Symmetry-distinct sites (fractional):
Be: 0.0000 0.0000 0.0000 (multiplicity 1)
Cr: 0.5000 0.5000 0.5000 (multiplicity 1)
Ru: 0.0000 0.5000 0.5000 (multiplicity 3)

Calculated values
Relative energy among the computed polymorphs: 4.248 eV/f.u.
Calculated density: 7.2 g/cm3
Energy: -6.8233 eV per atom
Energy relative to the elements: 1.412 eV per atom

---

4.
Dy3Ag2 | GGA-PBE | optimized geometry

Cell: 3.6077 3.6077 19.6532 Å, 90.00 90.00 90.00°
Space group P4/mmm (No. 123)
Symmetry-distinct sites (fractional):
Dy: 0.0000 0.0000 0.0000 (multiplicity 1)
Dy: 0.0000 0.0000 0.1879 (multiplicity 2)
Dy: 0.0000 0.0000 0.3745 (multiplicity 2)
Dy: 0.5000 0.5000 0.5000 (multiplicity 1)
Ag: 0.5000 0.5000 0.0934 (multiplicity 2)
Ag: 0.5000 0.5000 0.2812 (multiplicity 2)

Calculated values
Relative energy among the computed polymorphs: 0.000 eV/f.u.
Calculated density: 9.1 g/cm3
Energy: -4.1492 eV per atom
Energy relative to the elements: -0.247 eV per atom

---

5.
La2RuBr | GGA-PBE | optimized geometry

Cell: 3.6746 3.6746 29.3200 Å, 90.00 90.00 120.00°
Space group R3m (No. 160, hexagonal axes)
Symmetry-distinct sites (fractional):
La: 0.0000 0.0000 0.0000 (multiplicity 3)
La: 0.0000 0.0000 0.2238 (multiplicity 3)
Ru: 0.0000 0.0000 0.5009 (multiplicity 3)
Br: 0.0000 0.0000 0.7415 (multiplicity 3)

Calculated values
ΔE_f (raw): -9.54 kJ/mol of atoms
Relative energy among the computed polymorphs: 3.239 eV/f.u.
Calculated density: 6.7 g/cm3
Energy: -5.2998 eV per atom

---

6.
Rb5Ag2Au | GGA-PBE | optimized geometry

Cell: 9.1864 9.1864 17.4099 Å, 90.00 90.00 90.00°
Space group I4/mcm (No. 140)
Symmetry-distinct sites (fractional):
Rb: 0.0000 0.0000 0.0000 (multiplicity 4)
Rb: 0.1759 0.3241 0.1470 (multiplicity 16)
Ag: 0.1092 0.3908 0.5000 (multiplicity 8)
Au: 0.0000 0.0000 0.2500 (multiplicity 4)

Calculated values
Calculated density: 3.8 g/cm3
Energy: -1.7782 eV per atom
Energy relative to the elements: -0.051 eV per atom

---

7.
PuTe3PbAu | GGA-PBE | optimized geometry

Cell: 9.0332 4.3832 9.8984 Å, 90.00 105.50 90.00°
Space group P2_1/m (No. 11)
Symmetry-distinct sites (fractional):
Pu: 0.1782 0.2500 0.1712 (multiplicity 2)
Te: 0.0698 0.2500 0.8421 (multiplicity 2)
Te: 0.2435 0.2500 0.4928 (multiplicity 2)
Te: 0.4081 0.7500 0.1307 (multiplicity 2)
Pb: 0.3064 0.7500 0.7571 (multiplicity 2)
Au: 0.4100 0.7500 0.4161 (multiplicity 2)

Calculated values
ΔE_f (raw): -51.08 kJ/mol of atoms
Calculated density: 9.1 g/cm3
Energy: -5.6532 eV per atom

---

8.
Ba2CuHRh | GGA-PBE | optimized geometry

Cell: 5.6715 5.6715 3.6883 Å, 90.00 90.00 90.00°
Space group P4/mmm (No. 123)
Symmetry-distinct sites (fractional):
Ba: 0.0000 0.5000 0.0000 (multiplicity 2)
Cu: 0.0000 0.0000 0.5000 (multiplicity 1)
H: 0.5000 0.5000 0.0000 (multiplicity 1)
Rh: 0.5000 0.5000 0.5000 (multiplicity 1)

Calculated values
Relative energy among the computed polymorphs: 0.408 eV/f.u.
Calculated density: 6.2 g/cm3
Energy: -3.8955 eV per atom

---

9.
LiTaPt | GGA-PBE | optimized geometry

Cell: 6.0384 6.0384 6.0384 Å, 90.00 90.00 90.00°
Space group F-43m (No. 216)
Symmetry-distinct sites (fractional):
Li: 0.0000 0.0000 0.0000 (multiplicity 4)
Ta: 0.0000 0.0000 0.5000 (multiplicity 4)
Pt: 0.2500 0.2500 0.2500 (multiplicity 4)

Calculated values
Relative energy among the computed polymorphs: 0.751 eV/f.u.
Calculated density: 11.6 g/cm3
Energy: -6.6755 eV per atom
Energy relative to the elements: -0.073 eV per atom

---

10.
Fe2NiCl | GGA-PBE | optimized geometry

Cell: 3.1159 4.6901 7.5572 Å, 90.00 90.00 90.00°
Space group Cmm2 (No. 35)
Symmetry-distinct sites (fractional):
Fe: 0.0000 0.0000 0.0000 (multiplicity 2)
Fe: 0.0000 0.5000 0.2473 (multiplicity 2)
Ni: 0.0000 0.0000 0.4833 (multiplicity 2)
Cl: 0.0000 0.5000 0.7519 (multiplicity 2)

Calculated values
ΔE_f (raw): 29.07 kJ/mol of atoms
Relative energy among the computed polymorphs: 0.689 eV/f.u.
Calculated density: 6.2 g/cm3
Energy: -5.8370 eV per atom

---

11.
PRh3Br | GGA-PBE | optimized geometry

Cell: 4.5937 4.5937 4.5937 Å, 90.00 90.00 90.00°
Space group Pm-3m (No. 221)
Symmetry-distinct sites (fractional):
P: 0.0000 0.0000 0.0000 (multiplicity 1)
Rh: 0.0000 0.5000 0.5000 (multiplicity 3)
Br: 0.5000 0.5000 0.5000 (multiplicity 1)

Calculated values
ΔE_f (raw): 121.65 kJ/mol of atoms
Relative energy among the computed polymorphs: 4.786 eV/f.u.
Calculated density: 7.2 g/cm3
Energy: -4.5666 eV per atom

---

12.
PmTePdAu | GGA-PBE | optimized geometry

Cell: 7.1317 7.1317 7.1317 Å, 90.00 90.00 90.00°
Space group F-43m (No. 216)
Symmetry-distinct sites (fractional):
Pm: 0.0000 0.0000 0.0000 (multiplicity 4)
Te: 0.0000 0.0000 0.5000 (multiplicity 4)
Pd: 0.2500 0.2500 0.2500 (multiplicity 4)
Au: 0.2500 0.2500 0.7500 (multiplicity 4)

Calculated values
ΔE_f (raw): -62.70 kJ/mol of atoms
Calculated density: 10.5 g/cm3
Energy: -4.7405 eV per atom

---

13.
SnS3O | GGA-PBE | optimized geometry

Cell: 4.3882 4.3882 4.3882 Å, 90.00 90.00 90.00°
Space group Pm-3m (No. 221)
Symmetry-distinct sites (fractional):
Sn: 0.0000 0.0000 0.0000 (multiplicity 1)
S: 0.0000 0.5000 0.5000 (multiplicity 3)
O: 0.5000 0.5000 0.5000 (multiplicity 1)

Calculated values
ΔE_f (raw): 47.89 kJ/mol of atoms
Relative energy among the computed polymorphs: 0.000 eV/f.u.
Calculated density: 4.5 g/cm3
Energy: -3.7723 eV per atom

---

14.
K2CaTiSb | GGA-PBE | optimized geometry

Cell: 6.6800 6.6800 5.3695 Å, 90.00 90.00 90.00°
Space group P4/mmm (No. 123)
Symmetry-distinct sites (fractional):
K: 0.0000 0.5000 0.0000 (multiplicity 2)
Ca: 0.0000 0.0000 0.5000 (multiplicity 1)
Ti: 0.5000 0.5000 0.5000 (multiplicity 1)
Sb: 0.5000 0.5000 0.0000 (multiplicity 1)

Calculated values
ΔE_f (raw): 33.57 kJ/mol of atoms
Calculated density: 2.0 g/cm3
Energy: -2.8949 eV per atom

---

15.
EuSi2Ni2 | GGA-PBE | optimized geometry

Cell: 4.0339 4.0339 9.7652 Å, 90.00 90.00 90.00°
Space group I4/mmm (No. 139)
Symmetry-distinct sites (fractional):
Eu: 0.0000 0.0000 0.0000 (multiplicity 2)
Si: 0.0000 0.0000 0.3684 (multiplicity 4)
Ni: 0.0000 0.5000 0.2500 (multiplicity 4)

Calculated values
ΔE_f (raw): -64.61 kJ/mol of atoms
Calculated density: 6.8 g/cm3
Energy: -7.2062 eV per atom

---

16.
LaCd2Pt | GGA-PBE | optimized geometry

Cell: 4.2193 4.2193 5.4134 Å, 90.00 90.00 90.00°
Space group P4/mmm (No. 123)
Symmetry-distinct sites (fractional):
La: 0.0000 0.0000 0.0000 (multiplicity 1)
Cd: 0.0000 0.5000 0.5000 (multiplicity 2)
Pt: 0.5000 0.5000 0.0000 (multiplicity 1)

Calculated values
Calculated density: 9.6 g/cm3
Energy: -3.6919 eV per atom
Energy relative to the elements: -0.492 eV per atom

---

17.
Pr4Sm2Ga3O2 | GGA-PBE | optimized geometry

Cell: 4.8657 4.8657 23.8162 Å, 90.00 90.00 90.00°
Space group I4/mmm (No. 139)
Symmetry-distinct sites (fractional):
Pr: 0.0000 0.5000 0.0841 (multiplicity 8)
Sm: 0.0000 0.0000 0.2033 (multiplicity 4)
Ga: 0.0000 0.0000 0.3294 (multiplicity 4)
Ga: 0.0000 0.0000 0.5000 (multiplicity 2)
O: 0.0000 0.0000 0.1060 (multiplicity 4)

Calculated values
ΔE_f (raw): -121.48 kJ/mol of atoms
Calculated density: 6.5 g/cm3
Energy: -5.5821 eV per atom

---

18.
IrSe2 | GGA-PBE | optimized geometry

Cell: 5.6320 5.6320 10.4487 Å, 90.00 90.00 120.00°
Space group P6_3/mmc (No. 194)
Symmetry-distinct sites (fractional):
Ir: 0.3333 0.6667 0.0828 (multiplicity 4)
Se: 0.0000 0.0000 0.0000 (multiplicity 2)
Se: 0.1616 0.3231 0.2500 (multiplicity 6)

Calculated values
ΔE_f (raw): 76.94 kJ/mol of atoms
Calculated density: 8.1 g/cm3
Energy: -4.4792 eV per atom

---

19.
Zn6Au5 | GGA-PBE | optimized geometry

Cell: 6.2470 10.2801 6.3087 Å, 90.00 109.45 90.00°
Space group C2/m (No. 12)
Symmetry-distinct sites (fractional):
Zn: 0.1689 0.0000 0.2077 (multiplicity 4)
Zn: 0.1734 0.1334 0.6884 (multiplicity 8)
Au: 0.0000 0.2221 0.0000 (multiplicity 4)
Au: 0.0000 0.3584 0.5000 (multiplicity 4)
Au: 0.0000 0.5000 0.0000 (multiplicity 2)

Calculated values
Relative energy among the computed polymorphs: 1.096 eV/f.u.
Calculated density: 12.0 g/cm3
Energy: -2.2763 eV per atom
Energy relative to the elements: -0.092 eV per atom

---

20.
Sb2WAu | GGA-PBE | optimized geometry

Cell: 3.1696 3.1696 31.9156 Å, 90.00 90.00 120.00°
Space group R3m (No. 160, hexagonal axes)
Symmetry-distinct sites (fractional):
Sb: 0.0000 0.0000 0.0000 (multiplicity 3)
Sb: 0.0000 0.0000 0.2094 (multiplicity 3)
W: 0.0000 0.0000 0.7351 (multiplicity 3)
Au: 0.0000 0.0000 0.4692 (multiplicity 3)

Calculated values
ΔE_f (raw): 45.36 kJ/mol of atoms
Relative energy among the computed polymorphs: 0.563 eV/f.u.
Calculated density: 11.2 g/cm3
Energy: -5.6487 eV per atom